Material: ZnCBr2
Method: DFT, PBEsol
State: optimized geometry

Its uncorrected formation energy is 1.286 eV/atom. The calculation puts the electronic total energy at -29.5 eV/cell. The density of states at the Fermi level comes out at 1.98 states/eV/f.u. The calculation puts the total magnetic moment at 0.44 μB/atom. As for the polymorph energy (0 for the lowest one): 0.0 meV per atom.

It has space group R-3m (No. 166, hexagonal axes), with a = 3.7589 Å, b = 3.7589 Å, c = 23.1738 Å, α = 90.00°, β = 90.00° and γ = 120.00°. The asymmetric unit holds Zn at (0.0000, 0.0000, 0.0000), C at (0.0000, 0.0000, 0.5000) and Br at (0.0000, 0.0000, 0.3976).

***

Material: KSi2Sb
Method: DFT, PBEsol
State: optimized geometry

Its uncorrected formation energy is 0.154 eV/atom. The calculation puts the electronic total energy at -16.6 eV/cell. The density of states at the Fermi level comes out at 1.17 states/eV/f.u. The calculation puts the total magnetic moment at 0.00 μB/atom.

It has space group P4mm (No. 99), with a = 3.538 Å, b = 3.538 Å, c = 7.471 Å, α = 90.00°, β = 90.00° and γ = 90.00°. The asymmetric unit holds K at (0.000, 0.000, 0.000), Si at (0.000, 0.000, 0.565), Si at (0.500, 0.500, 0.688) and Sb at (0.500, 0.500, 0.343).